Run one
{"formula": "LiSmZnTe3", "functional": "GGA-PBE", "state": "relaxed", "lattice": [[-1.9285, 9.2544, 4.6109], [-5.6478, 8.4592, 2.6773], [-1.8980, -5.6621, 5.9796]], "species": ["Li", "Li", "Sm", "Sm", "Te", "Te", "Te", "Te", "Te", "Te", "Zn", "Zn"], "fractional_positions": [[0.1052, 0.1052, 0.0825], [0.8948, 0.8948, 0.9175], [0.8288, 0.8288, 0.4199], [0.1712, 0.1712, 0.5801], [0.5000, 0.5000, 0.0000], [0.3278, 0.3278, 0.1512], [0.6733, 0.6733, 0.3185], [0.0000, 0.0000, 0.5000], [0.3267, 0.3267, 0.6815], [0.6722, 0.6722, 0.8488], [0.4562, 0.4562, 0.2727], [0.5438, 0.5438, 0.7273]]}

Run two
{"formula": "LiSmZnTe3", "functional": "GGA-PBE", "state": "relaxed", "lattice": [[8.5277, 0.0000, 0.0000], [0.0000, 4.3198, 0.0000], [-2.5742, 0.0000, 10.2076]], "species": ["Li", "Li", "Sm", "Sm", "Te", "Te", "Te", "Te", "Te", "Te", "Zn", "Zn"], "fractional_positions": [[0.8124, 0.7500, 0.3672], [0.1876, 0.2500, 0.6328], [0.3210, 0.7500, 0.3490], [0.6790, 0.2500, 0.6510], [0.2385, 0.7500, 0.0348], [0.5800, 0.2500, 0.3411], [0.0531, 0.2500, 0.3474], [0.9469, 0.7500, 0.6526], [0.4200, 0.7500, 0.6589], [0.7615, 0.2500, 0.9652], [0.0829, 0.2500, 0.0982], [0.9171, 0.7500, 0.9018]]}

Most stable to least stable, the ends of the list are run two and run one.

Run one
{"formula": "LiSmZn", "functional": "GGA-PBE", "state": "relaxed", "lattice": [[-1.0857, 2.4708, 3.9613], [-4.4948, 1.4930, 0.7368], [-2.6654, -2.0236, 3.4316]], "species": ["Li", "Sm", "Zn"], "fractional_positions": [[0.2500, 0.2500, 0.2500], [0.0000, 0.0000, 0.0000], [0.7500, 0.7500, 0.7500]]}

Run two
{"formula": "LiSmZn", "functional": "GGA-PBE", "state": "relaxed", "lattice": [[0.0000, 3.3481, 3.3481], [3.3481, 0.0000, 3.3481], [3.3481, 3.3481, 0.0000]], "species": ["Li", "Sm", "Zn"], "fractional_positions": [[0.2500, 0.2500, 0.2500], [0.7500, 0.7500, 0.7500], [0.0000, 0.0000, 0.0000]]}

Most stable to least stable, the ends of the list are run two and run one.

Run one
{"formula": "SrLiTmTe3", "functional": "GGA-PBE", "state": "relaxed", "lattice": [[-5.5894, 3.8416, -4.9427], [-2.6641, 0.5648, 3.4516], [6.3656, 7.6090, 3.6682]], "species": ["Li", "Li", "Sr", "Sr", "Te", "Te", "Te", "Te", "Te", "Te", "Tm", "Tm"], "fractional_positions": [[0.5841, 0.2500, 0.0901], [0.4159, 0.7500, 0.9099], [0.2529, 0.7500, 0.2054], [0.7471, 0.2500, 0.7946], [0.7616, 0.7500, 0.0417], [0.5631, 0.2500, 0.3441], [0.0701, 0.2500, 0.3576], [0.9299, 0.7500, 0.6424], [0.4369, 0.7500, 0.6559], [0.2384, 0.2500, 0.9583], [0.8099, 0.7500, 0.3413], [0.1901, 0.2500, 0.6587]]}

Run two
{"formula": "SrLiTmTe3", "functional": "GGA-PBE", "state": "relaxed", "lattice": [[14.6889, 0.0000, 0.0000], [0.0000, 4.4111, 0.0000], [0.0000, 0.0000, 11.5083]], "species": ["Li", "Li", "Li", "Li", "Sr", "Sr", "Sr", "Sr", "Te", "Te", "Te", "Te", "Te", "Te", "Te", "Te", "Te", "Te", "Te", "Te", "Tm", "Tm", "Tm", "Tm"], "fractional_positions": [[0.9929, 0.2500, 0.0910], [0.4929, 0.2500, 0.4090], [0.5071, 0.7500, 0.5910], [0.0071, 0.7500, 0.9090], [0.7752, 0.7500, 0.0396], [0.2752, 0.7500, 0.4604], [0.7248, 0.2500, 0.5396], [0.2248, 0.2500, 0.9604], [0.6074, 0.2500, 0.0698], [0.1036, 0.7500, 0.1173], [0.3532, 0.2500, 0.2471], [0.8532, 0.2500, 0.2529], [0.6036, 0.7500, 0.3827], [0.1074, 0.2500, 0.4302], [0.8926, 0.7500, 0.5698], [0.3964, 0.2500, 0.6173], [0.1468, 0.7500, 0.7471], [0.6468, 0.7500, 0.7529], [0.8964, 0.2500, 0.8827], [0.3926, 0.7500, 0.9302], [0.4837, 0.7500, 0.1675], [0.9837, 0.7500, 0.3325], [0.0163, 0.2500, 0.6675], [0.5163, 0.2500, 0.8325]]}

Most stable to least stable, the ends of the list are run two and run one.

Run one
{"formula": "LiTa", "functional": "GGA-PBE", "state": "relaxed", "lattice": [[-0.3048, 0.3066, -2.7509], [-2.1483, -0.8538, 1.5523], [-1.4490, 4.9388, 0.7109]], "species": ["Li", "Ta"], "fractional_positions": [[0.6667, 0.3333, 0.7500], [0.3333, 0.6667, 0.2500]]}

Run two
{"formula": "LiTa", "functional": "GGA-PBE", "state": "relaxed", "lattice": [[0.8885, -1.2515, 3.1720], [-1.6460, 1.1796, 2.8838], [-2.2193, -2.1064, 1.7478]], "species": ["Li", "Ta"], "fractional_positions": [[0.0000, 0.0000, 0.0000], [0.5000, 0.5000, 0.5000]]}

Run three
{"formula": "LiTa", "functional": "GGA-PBE", "state": "relaxed", "lattice": [[-2.4950, -1.6968, 2.2865], [-2.5542, 2.0667, 1.8807], [-3.6546, -0.1625, -0.9744]], "species": ["Li", "Ta"], "fractional_positions": [[0.0000, 0.0000, 0.0000], [0.2500, 0.2500, 0.2500]]}

Most stable to least stable, the ends of the list are run one and run three.

Run one
{"formula": "LiTaTeW", "functional": "GGA-PBE", "state": "relaxed", "lattice": [[2.9516, 1.4230, 3.1787], [-0.3232, 4.2308, 1.6844], [-1.4062, 0.6456, 4.2950]], "species": ["Li", "Ta", "Te", "W"], "fractional_positions": [[0.7500, 0.7500, 0.7500], [0.0000, 0.0000, 0.0000], [0.5000, 0.5000, 0.5000], [0.2500, 0.2500, 0.2500]]}

Run two
{"formula": "LiTaTeW", "functional": "GGA-PBE", "state": "relaxed", "lattice": [[-3.7316, -0.5342, -2.5850], [-3.5015, 2.9090, 0.4124], [-0.9054, 2.9760, -3.3491]], "species": ["Li", "Ta", "Te", "W"], "fractional_positions": [[0.7500, 0.7500, 0.7500], [0.5000, 0.5000, 0.5000], [0.2500, 0.2500, 0.2500], [0.0000, 0.0000, 0.0000]]}

Most stable to least stable, the ends of the list are run one and run two.

Run one
{"formula": "LiTb", "functional": "GGA-PBE", "state": "relaxed", "lattice": [[0.2697, -0.5716, 4.5406], [-2.7954, 2.3450, 2.7755], [-3.3579, -2.1732, 2.2401]], "species": ["Li", "Tb"], "fractional_positions": [[0.0000, 0.0000, 0.0000], [0.2500, 0.2500, 0.2500]]}

Run two
{"formula": "LiTb", "functional": "GGA-PBE", "state": "relaxed", "lattice": [[0.0000, 3.0163, 3.0163], [3.0163, 0.0000, 3.0163], [3.0163, 3.0163, 0.0000]], "species": ["Li", "Tb"], "fractional_positions": [[0.0000, 0.0000, 0.0000], [0.5000, 0.5000, 0.5000]]}

Run three
{"formula": "LiTb", "functional": "GGA-PBE", "state": "relaxed", "lattice": [[3.3538, 0.0000, 0.0000], [-1.6769, 2.9044, 0.0000], [0.0000, 0.0000, 5.4361]], "species": ["Li", "Tb"], "fractional_positions": [[0.6667, 0.3333, 0.7500], [0.3333, 0.6667, 0.2500]]}

Most stable to least stable, the ends of the list are run three and run one.

Run one
{"formula": "LiTbYTe3", "functional": "GGA-PBE", "state": "relaxed", "lattice": [[-8.9025, -2.1353, 6.3264], [2.3453, -2.5304, 2.4463], [3.2805, 11.1379, 8.3755]], "species": ["Li", "Li", "Li", "Li", "Tb", "Tb", "Tb", "Tb", "Te", "Te", "Te", "Te", "Te", "Te", "Te", "Te", "Te", "Te", "Te", "Te", "Y", "Y", "Y", "Y"], "fractional_positions": [[0.7731, 0.2500, 0.2343], [0.2731, 0.2500, 0.2657], [0.7269, 0.7500, 0.7343], [0.2269, 0.7500, 0.7657], [0.7814, 0.7500, 0.0165], [0.2814, 0.7500, 0.4835], [0.7186, 0.2500, 0.5165], [0.2186, 0.2500, 0.9835], [0.6002, 0.2500, 0.1013], [0.9582, 0.2500, 0.1053], [0.2701, 0.7500, 0.1462], [0.7701, 0.7500, 0.3538], [0.4582, 0.2500, 0.3947], [0.1002, 0.2500, 0.3987], [0.8998, 0.7500, 0.6013], [0.5418, 0.7500, 0.6053], [0.2299, 0.2500, 0.6462], [0.7299, 0.2500, 0.8538], [0.0418, 0.7500, 0.8947], [0.3998, 0.7500, 0.8987], [0.5248, 0.7500, 0.2451], [0.0248, 0.7500, 0.2549], [0.9752, 0.2500, 0.7451], [0.4752, 0.2500, 0.7549]]}

Run two
{"formula": "LiTbYTe3", "functional": "GGA-PBE", "state": "relaxed", "lattice": [[2.1210, -7.1308, 0.0000], [2.1210, 7.1308, 0.0000], [0.0000, 0.0000, 11.1138]], "species": ["Li", "Li", "Tb", "Tb", "Te", "Te", "Te", "Te", "Te", "Te", "Y", "Y"], "fractional_positions": [[0.5165, 0.4835, 0.2500], [0.4835, 0.5165, 0.7500], [0.2280, 0.7720, 0.2500], [0.7720, 0.2280, 0.7500], [0.6469, 0.3531, 0.0695], [0.8952, 0.1048, 0.2500], [0.6469, 0.3531, 0.4305], [0.3531, 0.6469, 0.5695], [0.1048, 0.8952, 0.7500], [0.3531, 0.6469, 0.9305], [0.0000, 0.0000, 0.0000], [0.0000, 0.0000, 0.5000]]}

Most stable to least stable, the ends of the list are run one and run two.

Run one
{"formula": "Li2Tc", "functional": "GGA-PBE", "state": "relaxed", "lattice": [[0.0000, 3.2977, 3.2977], [3.2977, 0.0000, 3.2977], [3.2977, 3.2977, 0.0000]], "species": ["Li", "Li", "Li", "Li", "Tc", "Tc"], "fractional_positions": [[0.6250, 0.6250, 0.1250], [0.6250, 0.1250, 0.6250], [0.1250, 0.6250, 0.6250], [0.6250, 0.6250, 0.6250], [0.0000, 0.0000, 0.0000], [0.2500, 0.2500, 0.2500]]}

Run two
{"formula": "Li2Tc", "functional": "GGA-PBE", "state": "relaxed", "lattice": [[-2.5275, -3.7913, 7.1151], [-0.2628, 4.3476, 7.2399], [-7.4448, 2.0187, 3.4476]], "species": ["Li", "Li", "Li", "Li", "Tc", "Tc"], "fractional_positions": [[0.3750, 0.3750, 0.3750], [0.8750, 0.3750, 0.3750], [0.3750, 0.8750, 0.3750], [0.3750, 0.3750, 0.8750], [0.2500, 0.2500, 0.2500], [0.5000, 0.5000, 0.5000]]}

Most stable to least stable, the ends of the list are run one and run two.

Run one
{"formula": "LiThTc", "functional": "GGA-PBE", "state": "relaxed", "lattice": [[-2.5315, -3.5187, -0.4738], [-4.0900, 0.0370, 1.5116], [-3.3534, 0.0858, -2.7860]], "species": ["Li", "Tc", "Th"], "fractional_positions": [[0.0000, 0.0000, 0.0000], [0.2500, 0.2500, 0.2500], [0.7500, 0.7500, 0.7500]]}

Run two
{"formula": "LiThTc", "functional": "GGA-PBE", "state": "relaxed", "lattice": [[0.7974, -0.6235, 4.3849], [-2.4549, 2.1943, 3.0677], [-2.9690, -2.2441, 2.5301]], "species": ["Li", "Tc", "Th"], "fractional_positions": [[0.5000, 0.5000, 0.5000], [0.0000, 0.0000, 0.0000], [0.2500, 0.2500, 0.2500]]}

Most stable to least stable, the ends of the list are run one and run two.

Run one
{"formula": "LiTmTc", "functional": "GGA-PBE", "state": "relaxed", "lattice": [[0.0000, 3.0539, 3.0539], [3.0539, 0.0000, 3.0539], [3.0539, 3.0539, 0.0000]], "species": ["Li", "Tc", "Tm"], "fractional_positions": [[0.0000, 0.0000, 0.0000], [0.2500, 0.2500, 0.2500], [0.7500, 0.7500, 0.7500]]}

Run two
{"formula": "LiTmTc", "functional": "GGA-PBE", "state": "relaxed", "lattice": [[-0.0608, -4.2825, 1.4428], [1.8300, -1.0656, 3.9926], [-2.6565, -1.1813, 3.4602]], "species": ["Li", "Tc", "Tm"], "fractional_positions": [[0.2500, 0.2500, 0.2500], [0.7500, 0.7500, 0.7500], [0.0000, 0.0000, 0.0000]]}

Most stable to least stable, the ends of the list are run one and run two.

Run one
{"formula": "LiZrTcW", "functional": "GGA-PBE", "state": "relaxed", "lattice": [[-1.0944, 3.0010, 3.1712], [-2.1996, 3.7624, -1.1252], [-4.3044, 0.5355, 1.2022]], "species": ["Li", "Tc", "W", "Zr"], "fractional_positions": [[0.7500, 0.7500, 0.7500], [0.5000, 0.5000, 0.5000], [0.2500, 0.2500, 0.2500], [0.0000, 0.0000, 0.0000]]}

Run two
{"formula": "LiZrTcW", "functional": "GGA-PBE", "state": "relaxed", "lattice": [[0.0000, 3.1857, 3.1857], [3.1857, 0.0000, 3.1857], [3.1857, 3.1857, 0.0000]], "species": ["Li", "Tc", "W", "Zr"], "fractional_positions": [[0.7500, 0.7500, 0.7500], [0.2500, 0.2500, 0.2500], [0.5000, 0.5000, 0.5000], [0.0000, 0.0000, 0.0000]]}

Most stable to least stable, the ends of the list are run two and run one.

Run one
{"formula": "LiZr2Tc", "functional": "GGA-PBE", "state": "relaxed", "lattice": [[1.5316, -3.7552, -2.2708], [-0.2871, -4.1934, 1.9841], [-3.0280, -3.1337, -1.6171]], "species": ["Li", "Tc", "Zr", "Zr"], "fractional_positions": [[0.5000, 0.5000, 0.5000], [0.2500, 0.2500, 0.2500], [0.0000, 0.0000, 0.0000], [0.7500, 0.7500, 0.7500]]}

Run two
{"formula": "LiZr2Tc", "functional": "GGA-PBE", "state": "relaxed", "lattice": [[2.4694, -4.2771, 0.0000], [2.4694, 4.2771, 0.0000], [0.0000, 0.0000, 7.6157]], "species": ["Li", "Li", "Tc", "Tc", "Zr", "Zr", "Zr", "Zr"], "fractional_positions": [[0.0000, 0.0000, 0.0000], [0.0000, 0.0000, 0.5000], [0.3333, 0.6667, 0.2500], [0.6667, 0.3333, 0.7500], [0.6667, 0.3333, 0.0811], [0.6667, 0.3333, 0.4189], [0.3333, 0.6667, 0.5811], [0.3333, 0.6667, 0.9189]]}

Most stable to least stable, the ends of the list are run one and run two.